Material: CrAg2Os
Method: DFT, GGA-PBE
State: relaxed

Output
Crystal system: orthorhombic
Offset from the most stable computed form: 0.418 eV/atom
E_form: 733 meV per atom
Total moment: 0.6287 μB per atom

abc: 2.766 4.382 5.278
angles: 90.00 90.00 90.00
Fractional positions:
Cr: 0.000 0.000 0.000
Ag: 0.500 0.500 0.250
Ag: 0.500 0.500 0.750
Os: 0.000 0.000 0.500